Record 1
The following is a GGA-PBE calculation of an optimized crystal structure of TbPmPr4Tm2, from Alexandria via LeMat-Bulk.

Magnetic moment (μB/cell): 0.0
E_form (eV per atom): 0.0160

Unit cell a=3.6482 b=6.2915 c=11.9308 alpha=79.82 beta=90.00 gamma=90.00
Last column: nearest neighbours and their distance in Å.
Sites, in units of the cell vectors:
1 Pr 0.5000 0.7516 0.2466  3 Tm 3.58-3.64, 1 Tb 3.58, 6 Pr 3.63-3.65, 2 Pm 3.64
2 Pr 0.0000 0.7512 0.7493  3 Tm 3.60-3.61, 1 Pm 3.61, 2 Tb 3.62, 6 Pr 3.63-3.65
3 Pr 0.5000 0.2484 0.7534  3 Tm 3.58-3.64, 1 Tb 3.58, 6 Pr 3.63-3.65, 2 Pm 3.64
4 Pr 0.0000 0.2488 0.2507  3 Tm 3.60-3.61, 1 Pm 3.61, 2 Tb 3.62, 6 Pr 3.63-3.65
5 Tb 0.5000 0.5000 0.0000  6 Pr 3.58-3.62, 4 Tm 3.64, 2 Tb 3.65
6 Pm 0.0000 0.5000 0.5000  6 Pr 3.61-3.64, 4 Tm 3.64, 2 Pm 3.65
7 Tm 0.0000 0.0000 0.0000  6 Pr 3.58-3.61, 4 Tb 3.64, 2 Tm 3.65
8 Tm 0.5000 0.0000 0.5000  6 Pr 3.60-3.64, 4 Pm 3.64, 2 Tm 3.65

***

Record 2
The following is a GGA-PBE calculation of an optimized crystal structure of DyFe3P3, from Alexandria via LeMat-Bulk.

Magnetic moment (μB/cell): 5.0
E_form (eV per atom): -0.3895

Unit cell a=6.0732 b=6.0732 c=6.0732 alpha=90.00 beta=90.00 gamma=90.00
Last column: nearest neighbours and their distance in Å.
Sites, in units of the cell vectors:
1 Dy 0.0000 0.0000 0.0000  12 Fe 3.40, 12 P 3.40
2 Dy 0.5000 0.5000 0.5000  12 Fe 3.40, 12 P 3.40
3 P 0.0000 0.2500 0.5000  4 Fe 2.15
4 P 0.5000 0.0000 0.2500  4 Fe 2.15
5 P 0.5000 0.0000 0.7500  4 Fe 2.15
6 P 0.7500 0.5000 0.0000  4 Fe 2.15
7 P 0.0000 0.7500 0.5000  4 Fe 2.15
8 P 0.2500 0.5000 0.0000  4 Fe 2.15
9 Fe 0.5000 0.2500 0.0000  4 P 2.15
10 Fe 0.2500 0.0000 0.5000  4 P 2.15
11 Fe 0.5000 0.7500 0.0000  4 P 2.15
12 Fe 0.7500 0.0000 0.5000  4 P 2.15
13 Fe 0.0000 0.5000 0.2500  4 P 2.15
14 Fe 0.0000 0.5000 0.7500  4 P 2.15

***

Record 3
The following is a GGA-PBE calculation of an optimized crystal structure of BeTl2Cr, from Alexandria via LeMat-Bulk.

Magnetic moment (μB/cell): 4.3
Energy above the lowest structure with this stoichiometry (meV/atom): 313
E_form (eV per atom): 0.8410

Unit cell a=4.9327 b=4.9327 c=4.9327 alpha=60.00 beta=60.00 gamma=60.00
Last column: nearest neighbours and their distance in Å.
Sites, in units of the cell vectors:
1 Cr 0.7500 0.7500 0.7500  4 Be 3.02, 4 Tl 3.02
2 Tl 0.2500 0.2500 0.2500  4 Tl 3.02, 4 Be 3.02
3 Tl 0.0000 0.0000 0.0000  4 Cr 3.02, 4 Tl 3.02
4 Be 0.5000 0.5000 0.5000  4 Tl 3.02, 4 Cr 3.02

***

Record 4
The following is a GGA-PBE calculation of an optimized crystal structure of SiNi2HRh, from Alexandria via LeMat-Bulk.

Magnetic moment (μB/cell): 0.0
E (eV/atom): -5.9005

Unit cell a=3.6073 b=3.6073 c=3.8269 alpha=90.00 beta=90.00 gamma=90.00
Last column: nearest neighbours and their distance in Å.
Sites, in units of the cell vectors:
1 H 0.0000 0.0000 0.0000  4 Ni 1.80, 2 Rh 1.91
2 Ni 0.5000 0.0000 0.0000  2 H 1.80
3 Ni 0.0000 0.5000 0.0000  2 H 1.80
4 Si 0.5000 0.5000 0.5000  4 Rh 2.55, 8 Ni 2.63
5 Rh 0.0000 0.0000 0.5000  2 H 1.91

***

Record 5
The following is a GGA-PBE calculation of an optimized crystal structure of La2SiPt, from Alexandria via LeMat-Bulk.

Magnetic moment (μB/cell): 0.0
Formation energy from raw total energies (eV/atom): -0.84

Unit cell a=6.3373 b=6.3373 c=6.3373 alpha=143.87 beta=138.41 gamma=56.25
Last column: nearest neighbours and their distance in Å.
Sites, in units of the cell vectors:
1 La 0.7268 0.2268 0.5000  4 Si 3.12, 2 La 3.33, 2 Pt 3.42
2 La 0.0070 0.0070 0.0000  4 Pt 3.04, 2 Si 3.16, 2 La 3.33
3 Pt 0.4576 0.4576 0.0000  2 Si 2.58
4 Si 0.3086 0.8086 0.5000  2 Pt 2.58

***

Record 6
The following is a GGA-PBE calculation of an optimized crystal structure of ScZnCdRu, from Alexandria via LeMat-Bulk.

Magnetic moment (μB/cell): 0.0
E_form (eV per atom): -0.0766

Unit cell a=4.5987 b=4.5987 c=4.5987 alpha=60.00 beta=60.00 gamma=60.00
Last column: nearest neighbours and their distance in Å.
Sites, in units of the cell vectors:
1 Sc 0.7500 0.7500 0.7500  4 Zn 2.82, 4 Cd 2.82
2 Cd 0.5000 0.5000 0.5000  4 Sc 2.82, 4 Ru 2.82
3 Ru 0.2500 0.2500 0.2500  4 Cd 2.82, 4 Zn 2.82
4 Zn 0.0000 0.0000 0.0000  4 Ru 2.82, 4 Sc 2.82

***

Record 7
The following is a GGA-PBE calculation of an optimized crystal structure of Sr2CuOs, from Alexandria via LeMat-Bulk.

Magnetic moment (μB/cell): 0.8
E_form (eV per atom): 0.5950

Unit cell a=8.3981 b=5.4471 c=3.3403 alpha=90.08 beta=66.45 gamma=130.42
Last column: nearest neighbours and their distance in Å.
Sites, in units of the cell vectors:
1 Sr 0.0000 0.0000 0.0000  4 Cu 3.19-3.20, 4 Os 3.19-3.20, 2 Sr 3.34
2 Sr 0.5000 0.0000 0.5000  4 Os 3.19-3.20, 4 Cu 3.19-3.20, 2 Sr 3.34
3 Cu 0.0000 0.5000 0.5000  8 Sr 3.19-3.20, 2 Cu 3.34
4 Os 0.5000 0.5000 0.0000  8 Sr 3.19-3.20, 2 Os 3.34

***

Record 8
The following is a GGA-PBE calculation of an optimized crystal structure of SrCa2CdIr, from Alexandria via LeMat-Bulk.

Magnetic moment (μB/cell): 0.0
Energy above the lowest structure with this stoichiometry (meV/atom): 0
E_form (eV per atom): -0.1903

Unit cell a=5.4886 b=5.4886 c=5.8093 alpha=90.00 beta=90.00 gamma=90.00
Last column: nearest neighbours and their distance in Å.
Sites, in units of the cell vectors:
1 Ca 0.0000 0.5000 0.0000  2 Ir 2.74
2 Ca 0.5000 0.0000 0.0000  2 Ir 2.74
3 Cd 0.5000 0.5000 0.5000  4 Sr 3.88, 8 Ca 4.00
4 Sr 0.0000 0.0000 0.5000  2 Ir 2.90
5 Ir 0.0000 0.0000 0.0000  4 Ca 2.74, 2 Sr 2.90